No. 1
DFT (meta-GGA SCAN) results for ZrIrPbW2 at its PBEsol-relaxed geometry.

Values from the calculation:
As for the formation energy: 2.29 eV per atom. As for the space-group type: P4/mmm, No. 123. For the energy, the calculation gives -61.10 eV per atom.

Cell lengths 4.8213, 4.8383, 4.8383 Å; angles 90.00, 90.00, 90.00 degrees
Last column: nearest neighbours and their distance in Å.
Positions (direct):
Ir (0.5000, 0.0000, 0.0000)  2 Zr 2.41
W (0.0000, 0.0000, 0.5000)  2 Zr 2.42
W (0.0000, 0.5000, 0.0000)  2 Zr 2.42
Zr (0.0000, 0.0000, 0.0000)  2 Ir 2.41, 4 W 2.42
Pb (0.5000, 0.5000, 0.5000)  8 W 3.42, 4 Ir 3.42

No. 2
DFT (meta-GGA SCAN) results for YIrPb2 at its PBEsol-relaxed geometry.

Values from the calculation:
As for the formation energy: -0.14 eV per atom. The polymorph energy (0 for the lowest one) is 129 meV per atom. As for the space-group type: F-43m, No. 216. For the energy, the calculation gives -62.77 eV per atom.

Cell lengths 5.0228, 5.0228, 5.0228 Å; angles 60.00, 60.00, 60.00 degrees
Last column: nearest neighbours and their distance in Å.
Positions (direct):
Ir (0.5000, 0.5000, 0.5000)  4 Y 3.08, 4 Pb 3.08
Y (0.2500, 0.2500, 0.2500)  4 Pb 3.08, 4 Ir 3.08
Pb (0.7500, 0.7500, 0.7500)  4 Pb 3.08, 4 Ir 3.08
Pb (0.0000, 0.0000, 0.0000)  4 Pb 3.08, 4 Y 3.08

No. 3
DFT (meta-GGA SCAN) results for YIr2Pb at its PBEsol-relaxed geometry.

Values from the calculation:
As for the formation energy: -0.19 eV per atom. As for the space-group type: P4/mmm, No. 123. For the energy, the calculation gives -61.65 eV per atom.

Cell lengths 3.4889, 3.4889, 6.1883 Å; angles 90.00, 90.00, 90.00 degrees
Last column: nearest neighbours and their distance in Å.
Positions (direct):
Ir (0.0000, 0.0000, 0.2417)  4 Pb 2.89, 4 Y 2.94, 2 Ir 2.99-3.20
Ir (0.0000, 0.0000, 0.7583)  4 Pb 2.89, 4 Y 2.94, 2 Ir 2.99-3.20
Pb (0.5000, 0.5000, 0.0000)  8 Ir 2.89, 2 Y 3.09
Y (0.5000, 0.5000, 0.5000)  8 Ir 2.94, 2 Pb 3.09

No. 4
DFT (meta-GGA SCAN) results for YIr2Pb at its PBEsol-relaxed geometry.

Values from the calculation:
As for the formation energy: -0.31 eV per atom. As for the space-group type: I4/mmm, No. 139. For the energy, the calculation gives -61.77 eV per atom.

Cell lengths 4.4162, 4.8994, 4.4162 Å; angles 116.79, 90.00, 116.79 degrees
Last column: nearest neighbours and their distance in Å.
Positions (direct):
Pb (0.0000, 0.0000, 0.0000)  8 Ir 2.90, 4 Y 3.12
Ir (0.2500, 0.5000, 0.7500)  4 Pb 2.90, 4 Y 2.90, 4 Ir 3.12
Ir (0.7500, 0.5000, 0.2500)  4 Pb 2.90, 4 Y 2.90, 4 Ir 3.12
Y (0.5000, 0.0000, 0.5000)  8 Ir 2.90, 4 Pb 3.12

No. 5
DFT (meta-GGA SCAN) results for YIrPb2 at its PBEsol-relaxed geometry.

Values from the calculation:
As for the formation energy: -0.17 eV per atom. The polymorph energy (0 for the lowest one) is 96 meV per atom. As for the space-group type: Imm2, No. 44. For the energy, the calculation gives -62.80 eV per atom.

Cell lengths 3.8216, 4.8795, 5.8175 Å; angles 114.80, 109.18, 90.00 degrees
Last column: nearest neighbours and their distance in Å.
Positions (direct):
Pb (0.9684, 0.9684, 0.9368)  2 Ir 2.90, 4 Y 3.17
Pb (0.7504, 0.2504, 0.5007)  4 Ir 3.10, 4 Y 3.24-3.39, 4 Pb 3.25-3.37
Ir (0.2468, 0.7468, 0.4936)  2 Y 2.83, 6 Pb 2.90-3.10
Y (0.5344, 0.5344, 0.0688)  2 Ir 2.83, 4 Pb 3.17

No. 6
DFT (meta-GGA SCAN) results for YIrPb2 at its PBEsol-relaxed geometry.

Values from the calculation:
As for the formation energy: -0.27 eV per atom. The polymorph energy (0 for the lowest one) is 0 meV per atom. As for the space-group type: R-3m, No. 166. For the energy, the calculation gives -62.90 eV per atom.

Cell lengths 4.5716, 4.5766, 5.6618 Å; angles 113.84, 89.99, 120.00 degrees
Last column: nearest neighbours and their distance in Å.
Positions (direct):
Y (0.5000, 0.0000, 0.0000)  6 Pb 3.05
Pb (0.7318, 0.4636, 0.6954)  3 Ir 2.81-2.82, 3 Y 3.05
Pb (0.2682, 0.5364, 0.3046)  3 Ir 2.81-2.82, 3 Y 3.05
Ir (0.0000, 0.0000, 0.5000)  6 Pb 2.81-2.82

No. 7
DFT (meta-GGA SCAN) results for Y3IrPb at its PBEsol-relaxed geometry.

Values from the calculation:
As for the formation energy: -0.66 eV per atom. As for the space-group type: Pm-3m, No. 221. For the energy, the calculation gives -46.74 eV per atom.

Cell lengths 5.2888, 5.2888, 5.2888 Å; angles 90.00, 90.00, 90.00 degrees
Last column: nearest neighbours and their distance in Å.
Positions (direct):
Y (0.0000, 0.0000, 0.5000)  2 Ir 2.64
Y (0.5000, 0.0000, 0.0000)  2 Ir 2.64
Y (0.0000, 0.5000, 0.0000)  2 Ir 2.64
Pb (0.5000, 0.5000, 0.5000)  12 Y 3.74
Ir (0.0000, 0.0000, 0.0000)  6 Y 2.64

No. 8
DFT (meta-GGA SCAN) results for YIrPb2 at its PBEsol-relaxed geometry.

Values from the calculation:
As for the formation energy: 0.00 eV per atom. The polymorph energy (0 for the lowest one) is 270 meV per atom. As for the space-group type: P4/mmm, No. 123. For the energy, the calculation gives -62.63 eV per atom.

Cell lengths 3.4504, 3.4504, 7.3825 Å; angles 90.00, 90.00, 90.00 degrees
Last column: nearest neighbours and their distance in Å.
Positions (direct):
Pb (0.0000, 0.0000, 0.2857)  4 Ir 2.91, 1 Pb 3.16, 4 Y 3.23
Pb (0.0000, 0.0000, 0.7143)  4 Ir 2.91, 1 Pb 3.16, 4 Y 3.23
Ir (0.5000, 0.5000, 0.5000)  8 Pb 2.91
Y (0.5000, 0.5000, 0.0000)  8 Pb 3.23, 4 Y 3.45

Copy entry 2 word for word.
DFT (meta-GGA SCAN) results for YIrPb2 at its PBEsol-relaxed geometry.

Values from the calculation:
As for the formation energy: -0.14 eV per atom. The polymorph energy (0 for the lowest one) is 129 meV per atom. As for the space-group type: F-43m, No. 216. For the energy, the calculation gives -62.77 eV per atom.

Cell lengths 5.0228, 5.0228, 5.0228 Å; angles 60.00, 60.00, 60.00 degrees
Last column: nearest neighbours and their distance in Å.
Positions (direct):
Ir (0.5000, 0.5000, 0.5000)  4 Y 3.08, 4 Pb 3.08
Y (0.2500, 0.2500, 0.2500)  4 Pb 3.08, 4 Ir 3.08
Pb (0.7500, 0.7500, 0.7500)  4 Pb 3.08, 4 Ir 3.08
Pb (0.0000, 0.0000, 0.0000)  4 Pb 3.08, 4 Y 3.08